[1]
An optimized crystal structure of TlCoHgF6. Source: the Alexandria database, functional PBE with a Hubbard U.

Cell and atoms, written as extended XYZ:
```
18
Lattice="-2.761 0.976 4.985 5.553 -1.607 0.039 3.067 10.588 -0.375" Properties=species:S:1:pos:R:3 pbc="T T T"
Tl 0.000 0.000 0.000
Tl 1.533 5.294 -0.187
Co 0.777 2.762 3.242
Co 5.082 7.195 1.406
Hg 3.548 1.901 1.594
Hg 2.310 8.056 3.055
F 1.962 1.313 3.238
F -0.212 1.992 4.632
F 6.267 5.749 1.503
F 6.071 7.965 0.016
F 1.850 3.510 1.903
F 1.774 3.626 4.570
F 6.163 8.033 2.684
F -0.408 4.208 3.145
F 4.085 6.330 0.078
F -0.305 1.924 1.964
F 4.008 6.447 2.745
F 3.897 8.644 1.410
```

Total DFT energy (no corrections): -3.8368 eV/atom
V: 319.3 Å³/cell
Magnetic moment: 0.0 μB/cell

***

[2]
An optimized crystal structure of Tl2CoHgF6. Source: the Alexandria database, functional PBE with a Hubbard U.

Cell and atoms, written as extended XYZ:
```
20
Lattice="-4.326 -2.465 -3.637 4.437 -2.984 -3.255 -0.643 -6.870 5.423" Properties=species:S:1:pos:R:3 pbc="T T T"
Tl 1.030 -5.151 -2.960
Tl 0.610 -5.833 3.228
Tl 0.699 -8.689 -0.168
Tl 0.922 -2.501 0.598
Co -1.383 -5.408 0.085
Co 3.336 -2.244 -2.447
Hg 2.990 -5.662 0.282
Hg -1.037 -1.990 -2.644
F -1.255 -3.787 -1.166
F -1.556 -7.000 1.370
F 3.208 -3.865 -1.196
F 2.866 -7.523 1.691
F -1.355 -4.130 1.708
F -3.443 -5.320 -0.047
F 0.670 -5.499 0.214
F -1.407 -6.683 -1.532
F -0.967 -3.435 -4.466
F 1.283 -2.153 -2.576
F 3.308 -3.522 -4.070
F 1.070 -4.797 -5.951
```

Total DFT energy (no corrections): -3.9239 eV/atom
V: 338.7 Å³/cell
Magnetic moment: 6.0 μB/cell

***

[3]
An optimized crystal structure of Co2HgWF. Source: the Alexandria database, functional PBE with a Hubbard U.

Cell and atoms, written as extended XYZ:
```
5
Lattice="5.029 0.000 0.000 0.000 5.558 0.000 0.000 0.000 5.029" Properties=species:S:1:pos:R:3 pbc="T T T"
Co 0.000 0.000 2.514
Co 2.514 0.000 0.000
Hg 0.000 2.779 0.000
W 0.000 0.000 0.000
F 2.514 2.779 2.514
```

Total DFT energy (no corrections): -2.5244 eV/atom
V: 140.5 Å³/cell
Magnetic moment: 7.2 μB/cell

***

[4]
An optimized crystal structure of YCo2HgF. Source: the Alexandria database, functional PBE with a Hubbard U.

Cell and atoms, written as extended XYZ:
```
5
Lattice="5.348 0.000 0.000 0.000 4.250 0.000 0.000 0.000 5.348" Properties=species:S:1:pos:R:3 pbc="T T T"
Y 0.000 0.000 0.000
Co 0.000 0.000 2.674
Co 2.674 0.000 0.000
Hg 2.674 2.125 2.674
F 0.000 2.125 0.000
```

Total DFT energy (no corrections): -3.6427 eV/atom
V: 121.5 Å³/cell
Magnetic moment: 4.1 μB/cell

***

[5]
An optimized crystal structure of Ho2CoF8. Source: the Alexandria database, functional PBE with a Hubbard U.

Cell and atoms, written as extended XYZ:
```
11
Lattice="-1.095 0.761 3.185 2.939 -4.714 2.137 5.193 4.499 -1.161" Properties=species:S:1:pos:R:3 pbc="T T T"
Co -0.548 0.380 1.592
Ho 3.734 -1.567 1.659
Ho 3.302 2.113 2.502
F 1.927 -1.148 2.808
F 3.103 3.129 0.320
F 2.953 0.467 0.904
F 2.653 -3.602 1.773
F 4.083 0.079 3.257
F 3.933 -2.583 3.841
F 5.109 1.694 1.353
F 4.383 4.148 2.388
```

Total DFT energy (no corrections): -6.1651 eV/atom
V: 135.6 Å³/cell
Magnetic moment: 3.0 μB/cell

***

[6]
An optimized crystal structure of KHoCoF6. Source: the Alexandria database, functional PBE with a Hubbard U.

Cell and atoms, written as extended XYZ:
```
18
Lattice="7.471 0.000 0.000 0.000 7.168 0.000 -3.736 -3.584 5.165" Properties=species:S:1:pos:R:3 pbc="T T T"
K 3.736 1.792 3.555
K 0.000 1.792 1.610
Ho 1.868 -1.792 2.582
Ho -1.868 -1.792 2.582
Co 3.736 3.584 0.000
Co 3.736 0.000 0.000
F 3.736 5.376 1.068
F 3.736 -1.792 3.762
F 5.234 0.133 1.374
F 2.238 3.451 1.374
F 2.238 0.133 1.374
F 5.234 3.451 1.374
F 0.000 -1.792 4.097
F 0.000 5.376 1.402
F -1.498 3.451 3.791
F 1.498 0.133 3.791
F 1.498 3.451 3.791
F -1.498 0.133 3.791
```

Total DFT energy (no corrections): -5.5857 eV/atom
V: 276.6 Å³/cell
Magnetic moment: 6.0 μB/cell

***

[7]
An optimized crystal structure of K2HoCo3F12. Source: the Alexandria database, functional PBE with a Hubbard U.

Cell and atoms, written as extended XYZ:
```
18
Lattice="-7.252 -1.511 0.404 -2.785 -2.771 6.292 -4.365 4.260 4.223" Properties=species:S:1:pos:R:3 pbc="T T T"
K -8.972 -0.014 6.802
K -5.430 -0.008 4.117
Ho 0.000 0.000 0.000
Co -3.626 -0.755 0.202
Co -1.393 -1.386 3.146
Co -2.183 2.130 2.111
F -7.112 2.600 5.951
F -10.645 -2.378 7.566
F -9.047 0.816 9.680
F -8.878 -0.931 3.615
F -11.520 1.514 6.420
F -6.145 -1.703 7.218
F -7.290 -2.622 4.968
F -3.756 2.356 3.354
F -5.354 -0.838 1.240
F -5.523 0.909 7.305
F -2.882 -1.536 4.499
F -8.257 1.681 3.702
```

Total DFT energy (no corrections): -5.1460 eV/atom
V: 293.3 Å³/cell
Magnetic moment: 10.0 μB/cell

***

[8]
An optimized crystal structure of Na2HoCoF8. Source: the Alexandria database, functional PBE with a Hubbard U.

Cell and atoms, written as extended XYZ:
```
12
Lattice="-0.250 4.928 -1.251 -4.624 0.205 2.171 2.816 1.626 5.843" Properties=species:S:1:pos:R:3 pbc="T T T"
Na -0.302 3.800 4.891
Na -1.757 2.960 1.872
Ho 1.408 0.813 2.921
Co 0.000 0.000 0.000
F -3.180 1.418 2.895
F -0.820 5.430 6.536
F -0.402 4.462 0.708
F 1.121 5.342 3.868
F -1.238 1.329 0.227
F -1.657 2.297 6.055
F -2.033 4.405 3.579
F -0.026 2.354 3.183
```

Total DFT energy (no corrections): -5.2288 eV/atom
V: 174.0 Å³/cell
Magnetic moment: 3.9 μB/cell

***

[9]
An optimized crystal structure of Na2HoCo3F12. Source: the Alexandria database, functional PBE with a Hubbard U.

Cell and atoms, written as extended XYZ:
```
18
Lattice="-2.230 -2.211 -6.035 4.665 -3.470 -3.532 -1.151 -6.702 -0.198" Properties=species:S:1:pos:R:3 pbc="T T T"
Na 0.823 -7.941 -6.263
Na 0.460 -4.441 -3.502
Ho 0.000 0.000 0.000
Co -1.115 -1.106 -3.017
Co 2.333 -1.735 -1.766
Co -0.576 -3.351 -0.099
F -0.393 -7.463 -2.670
F 1.641 -7.577 -8.334
F 2.141 -9.659 -5.628
F -1.075 -4.624 -6.359
F -1.055 -9.076 -6.788
F 3.284 -5.420 -4.777
F 1.677 -4.920 -7.095
F -0.358 -4.805 -1.432
F -0.858 -2.724 -4.137
F 2.359 -7.759 -3.406
F 2.339 -3.307 -2.977
F -2.000 -6.963 -4.988
```

Total DFT energy (no corrections): -5.0878 eV/atom
V: 253.0 Å³/cell
Magnetic moment: 10.0 μB/cell

***

[10]
An optimized crystal structure of RbHoCo2F8. Source: the Alexandria database, functional PBE with a Hubbard U.

Cell and atoms, written as extended XYZ:
```
12
Lattice="-1.436 -1.545 -4.851 -1.744 -5.006 0.813 -7.615 1.201 0.395" Properties=species:S:1:pos:R:3 pbc="T T T"
Rb -3.808 0.600 0.198
Ho 0.000 0.000 0.000
Co -6.885 -2.077 -1.530
Co -3.910 -3.273 -2.112
F -3.218 -3.818 -0.303
F -2.847 -4.766 -2.878
F -3.046 -2.038 -3.442
F -7.577 -1.532 -3.339
F -7.948 -0.584 -0.764
F -7.749 -3.312 -0.200
F -5.838 -3.714 -2.376
F -4.958 -1.636 -1.266
```

Total DFT energy (no corrections): -5.4170 eV/atom
V: 207.8 Å³/cell
Magnetic moment: 6.0 μB/cell

***

[11]
An optimized crystal structure of RbHoCoF6. Source: the Alexandria database, functional PBE with a Hubbard U.

Cell and atoms, written as extended XYZ:
```
18
Lattice="-0.310 4.882 5.810 2.054 -5.317 4.578 4.092 1.462 -5.975" Properties=species:S:1:pos:R:3 pbc="T T T"
Rb 3.787 1.972 3.510
Rb 2.049 -0.944 0.903
Ho 1.891 3.172 -0.083
Ho 2.046 0.731 -2.988
Co 0.872 -0.218 5.194
Co -0.155 2.441 2.905
F 2.346 -1.306 6.187
F 2.900 4.665 1.199
F 1.131 3.681 3.897
F 2.235 -0.793 3.785
F 1.253 1.748 1.597
F 2.112 1.139 6.085
F 3.490 2.333 -1.775
F 2.936 -3.638 3.214
F 4.705 -2.654 0.516
F 3.600 1.821 0.627
F 4.582 -0.721 2.816
F 3.723 -0.112 -1.672
```

Total DFT energy (no corrections): -5.5738 eV/atom
V: 287.4 Å³/cell
Magnetic moment: 6.0 μB/cell

***

[12]
An optimized crystal structure of HoTl2Co3F12. Source: the Alexandria database, functional PBE with a Hubbard U.

Cell and atoms, written as extended XYZ:
```
18
Lattice="-4.556 -3.376 -5.068 2.824 -3.320 -6.232 -0.069 -7.562 -0.805" Properties=species:S:1:pos:R:3 pbc="T T T"
Ho 0.000 0.000 0.000
Tl -1.085 -8.589 -7.292
Tl -0.716 -5.669 -4.813
Co -2.278 -1.688 -2.534
Co 1.412 -1.660 -3.116
Co -0.035 -3.781 -0.402
F -0.607 -9.049 -4.284
F -1.614 -8.763 -10.656
F 0.956 -11.161 -8.214
F -3.322 -6.516 -6.864
F -3.272 -11.193 -7.547
F 1.144 -6.482 -7.569
F -1.194 -5.209 -7.820
F -0.187 -5.495 -1.448
F -2.757 -3.097 -3.891
F 1.521 -7.742 -5.240
F 1.471 -3.065 -4.557
F -2.945 -7.776 -4.536
```

Total DFT energy (no corrections): -5.0667 eV/atom
V: 302.8 Å³/cell
Magnetic moment: 10.0 μB/cell

***

Question: Number 11 is which compound?
Answer: RbHoCoF6

***

Please write out number 5 again, unchanged.
An optimized crystal structure of Ho2CoF8. Source: the Alexandria database, functional PBE with a Hubbard U.

Cell and atoms, written as extended XYZ:
```
11
Lattice="-1.095 0.761 3.185 2.939 -4.714 2.137 5.193 4.499 -1.161" Properties=species:S:1:pos:R:3 pbc="T T T"
Co -0.548 0.380 1.592
Ho 3.734 -1.567 1.659
Ho 3.302 2.113 2.502
F 1.927 -1.148 2.808
F 3.103 3.129 0.320
F 2.953 0.467 0.904
F 2.653 -3.602 1.773
F 4.083 0.079 3.257
F 3.933 -2.583 3.841
F 5.109 1.694 1.353
F 4.383 4.148 2.388
```

Total DFT energy (no corrections): -6.1651 eV/atom
V: 135.6 Å³/cell
Magnetic moment: 3.0 μB/cell